A plane-wave DFT calculation with PBE was carried out for a geometry-optimized TePH structure.

Structure (CIF):
```
data_TePH
_cell_length_a 3.8046
_cell_length_b 6.1073
_cell_length_c 6.9664
_cell_angle_alpha 69.93
_cell_angle_beta 88.77
_cell_angle_gamma 75.04
_space_group_name_H-M_alt 'P 1'
_space_group_IT_number 1
loop_
_space_group_symop_operation_xyz
'x,y,z'
loop_
_atom_site_label
_atom_site_type_symbol
_atom_site_fract_x
_atom_site_fract_y
_atom_site_fract_z
Te1 Te 0.0000 0.0000 0.0000
Te2 Te 0.2072 0.4935 0.2781
P1 P 0.3775 0.0234 0.5611
P2 P 0.9765 0.8270 0.7278
H1 H 0.0295 0.5739 0.4764
H2 H 0.4513 0.9140 0.4066
```

Results
- DFT total energy: -0.278 Ry per atom
- ΔE to the lowest computed polymorph: 132 meV per atom
- Total moment: 0.00 μB per cell